1.
{"formula": "Ac3Te2Pb", "functional": "PBE-GGA", "state": "optimized geometry", "lattice": [[4.149, -7.195, 0.000], [4.149, 7.195, 0.000], [-2.788, 0.000, 7.838]], "species": ["Ac", "Ac", "Ac", "Ac", "Ac", "Ac", "Te", "Te", "Te", "Te", "Pb", "Pb"], "fractional_positions": [[0.000, 0.500, 0.000], [0.162, 0.323, 0.499], [0.323, 0.162, 0.999], [0.500, 0.000, 0.500], [0.677, 0.838, 0.001], [0.838, 0.677, 0.501], [0.252, 0.748, 0.750], [0.417, 0.583, 0.250], [0.583, 0.417, 0.750], [0.748, 0.252, 0.250], [0.086, 0.914, 0.250], [0.914, 0.086, 0.750]], "crystal_system": "monoclinic", "final_energy_ev_per_atom": -4.960, "space_group": "C2/c"}

---

2.
{"formula": "Ac12TePb6", "functional": "PBE-GGA", "state": "optimized geometry", "lattice": [[7.346, 4.241, 4.579], [-7.346, 4.241, 4.579], [0.000, -8.482, 4.579]], "species": ["Ac", "Ac", "Ac", "Ac", "Ac", "Ac", "Ac", "Ac", "Ac", "Ac", "Ac", "Ac", "Te", "Pb", "Pb", "Pb", "Pb", "Pb", "Pb"], "fractional_positions": [[0.027, 0.922, 0.667], [0.078, 0.333, 0.973], [0.189, 0.554, 0.421], [0.333, 0.973, 0.078], [0.421, 0.189, 0.554], [0.446, 0.579, 0.811], [0.554, 0.421, 0.189], [0.579, 0.811, 0.446], [0.667, 0.027, 0.922], [0.811, 0.446, 0.579], [0.922, 0.667, 0.027], [0.973, 0.078, 0.333], [0.000, 0.000, 0.000], [0.126, 0.307, 0.637], [0.307, 0.637, 0.126], [0.363, 0.874, 0.693], [0.637, 0.126, 0.307], [0.693, 0.363, 0.874], [0.874, 0.693, 0.363]], "crystal_system": "trigonal", "final_energy_ev_per_atom": -4.274, "space_group": "R-3"}

---

3.
{"formula": "Ac5Te2Pb2", "functional": "PBE-GGA", "state": "optimized geometry", "lattice": [[8.466, -4.446, 0.000], [8.466, 4.446, 0.000], [0.000, 0.000, 9.036]], "species": ["Ac", "Ac", "Ac", "Ac", "Ac", "Ac", "Ac", "Ac", "Ac", "Ac", "Te", "Te", "Te", "Te", "Pb", "Pb", "Pb", "Pb"], "fractional_positions": [[0.000, 0.000, 0.000], [0.028, 0.698, 0.660], [0.198, 0.528, 0.160], [0.302, 0.972, 0.660], [0.472, 0.802, 0.160], [0.500, 0.500, 0.500], [0.528, 0.198, 0.840], [0.698, 0.028, 0.340], [0.802, 0.472, 0.840], [0.972, 0.302, 0.340], [0.198, 0.198, 0.000], [0.302, 0.302, 0.500], [0.698, 0.698, 0.500], [0.802, 0.802, 0.000], [0.138, 0.862, 0.362], [0.362, 0.638, 0.862], [0.638, 0.362, 0.138], [0.862, 0.138, 0.638]], "crystal_system": "orthorhombic", "final_energy_ev_per_atom": -4.703, "space_group": "Cmce"}

---

4.
{"formula": "AcTe2Pb", "functional": "PBE-GGA", "state": "optimized geometry", "lattice": [[5.605, 0.000, 0.000], [-2.803, 4.854, 0.000], [0.000, 0.000, 15.174]], "species": ["Ac", "Ac", "Ac", "Te", "Te", "Te", "Te", "Te", "Te", "Pb", "Pb", "Pb"], "fractional_positions": [[0.000, 0.000, 0.000], [0.333, 0.667, 0.186], [0.667, 0.333, 0.814], [0.000, 0.000, 0.230], [0.000, 0.000, 0.770], [0.333, 0.667, 0.408], [0.333, 0.667, 0.927], [0.667, 0.333, 0.073], [0.667, 0.333, 0.592], [0.000, 0.000, 0.500], [0.333, 0.667, 0.637], [0.667, 0.333, 0.363]], "crystal_system": "trigonal", "final_energy_ev_per_atom": -4.428, "space_group": "P-3m1"}

---

5.
{"formula": "Ac3Te8Pb4", "functional": "PBE-GGA", "state": "optimized geometry", "lattice": [[6.617, -6.638, 0.000], [6.617, 6.638, 0.000], [-6.550, 0.000, 6.672]], "species": ["Ac", "Ac", "Ac", "Te", "Te", "Te", "Te", "Te", "Te", "Te", "Te", "Pb", "Pb", "Pb", "Pb"], "fractional_positions": [[0.000, 0.000, 0.000], [0.000, 0.500, 0.500], [0.500, 0.000, 0.500], [0.251, 0.251, 0.503], [0.251, 0.749, 0.500], [0.253, 0.253, 0.005], [0.253, 0.747, 0.000], [0.747, 0.253, 0.000], [0.747, 0.747, 0.995], [0.749, 0.251, 0.500], [0.749, 0.749, 0.497], [0.000, 0.500, 0.000], [0.500, 0.000, 0.000], [0.500, 0.500, 0.000], [0.500, 0.500, 0.500]], "crystal_system": "monoclinic", "final_energy_ev_per_atom": -4.390, "space_group": "C2/m"}

---

6.
{"formula": "AcTe7Pb5", "functional": "PBE-GGA", "state": "optimized geometry", "lattice": [[7.739, -2.317, 0.000], [7.739, 2.317, 0.000], [-0.036, 0.000, 26.382]], "species": ["Ac", "Ac", "Te", "Te", "Te", "Te", "Te", "Te", "Te", "Te", "Te", "Te", "Te", "Te", "Te", "Te", "Pb", "Pb", "Pb", "Pb", "Pb", "Pb", "Pb", "Pb", "Pb", "Pb"], "fractional_positions": [[0.000, 0.000, 0.000], [0.600, 0.600, 0.501], [0.155, 0.155, 0.779], [0.170, 0.170, 0.208], [0.249, 0.249, 0.491], [0.351, 0.351, 0.991], [0.430, 0.430, 0.708], [0.445, 0.445, 0.279], [0.608, 0.608, 0.928], [0.625, 0.625, 0.061], [0.691, 0.691, 0.624], [0.717, 0.717, 0.354], [0.885, 0.885, 0.855], [0.909, 0.909, 0.123], [0.974, 0.974, 0.561], [0.993, 0.993, 0.427], [0.066, 0.066, 0.669], [0.081, 0.081, 0.318], [0.250, 0.250, 0.890], [0.267, 0.267, 0.096], [0.333, 0.333, 0.596], [0.351, 0.351, 0.390], [0.519, 0.519, 0.818], [0.534, 0.534, 0.168], [0.795, 0.795, 0.746], [0.805, 0.805, 0.245]], "crystal_system": "monoclinic", "final_energy_ev_per_atom": -4.010, "space_group": "Cm"}

---

7.
{"formula": "AcTe2Pb", "functional": "PBE-GGA", "state": "optimized geometry", "lattice": [[5.583, 0.000, 0.000], [0.000, 5.583, 0.000], [0.000, 0.000, 4.179]], "species": ["Ac", "Te", "Te", "Pb"], "fractional_positions": [[0.000, 0.000, 0.000], [0.000, 0.500, 0.500], [0.500, 0.000, 0.500], [0.500, 0.500, 0.000]], "crystal_system": "tetragonal", "final_energy_ev_per_atom": -4.443, "space_group": "P4/mmm"}

---

8.
{"formula": "Ac5Te2Pb2", "functional": "PBE-GGA", "state": "optimized geometry", "lattice": [[-9.374, 4.245, 4.507], [9.374, -4.245, 4.507], [9.374, 4.245, -4.507]], "species": ["Ac", "Ac", "Ac", "Ac", "Ac", "Ac", "Ac", "Ac", "Ac", "Ac", "Te", "Te", "Te", "Te", "Pb", "Pb", "Pb", "Pb"], "fractional_positions": [[0.108, 0.019, 0.589], [0.217, 0.055, 0.272], [0.217, 0.445, 0.662], [0.431, 0.519, 0.411], [0.460, 0.767, 0.001], [0.460, 0.959, 0.193], [0.766, 0.267, 0.807], [0.766, 0.459, 0.999], [0.783, 0.555, 0.338], [0.783, 0.945, 0.728], [0.725, 0.225, 0.500], [0.725, 0.725, 0.000], [0.898, 0.179, 0.219], [0.960, 0.679, 0.781], [0.239, 0.365, 0.039], [0.239, 0.700, 0.373], [0.327, 0.200, 0.961], [0.327, 0.865, 0.627]], "crystal_system": "orthorhombic", "final_energy_ev_per_atom": -4.558, "space_group": "Ima2"}

---

Which formula does entry 6 have?
AcTe7Pb5